Record 1
This record from Alexandria via LeMat-Bulk describes a crystal of In relaxed with PBEsol. The functional is meta-GGA SCAN.

extended XYZ file:
```
3
Lattice="1.611 0.930 8.510 -1.611 0.930 8.510 0.000 -1.860 8.510" Properties=species:S:1:pos:R:3 pbc="T T T"
In 0.000 0.000 0.000
In 0.000 0.000 5.671
In 0.000 0.000 19.858
```

Values from the calculation:
The formation energy is 0.07 eV per atom. As for the symmetry: No. 166.


Record 2
This record from Alexandria via LeMat-Bulk describes a crystal of Zn2RuBr relaxed with PBEsol. The functional is meta-GGA SCAN.

extended XYZ file:
```
4
Lattice="-1.563 2.172 4.523 1.563 -2.172 4.523 1.563 2.172 -4.523" Properties=species:S:1:pos:R:3 pbc="T T T"
Zn 0.000 0.000 2.131
Zn 0.000 0.000 6.915
Ru 1.563 0.000 0.000
Br 0.000 2.172 0.000
```

Values from the calculation:
As for the uncorrected formation energy: 10.9 kcal/mol of atoms. As for the symmetry: No. 71.


Record 3
This record from Alexandria via LeMat-Bulk describes a crystal of TcPAu2 relaxed with PBEsol. The functional is meta-GGA SCAN.

extended XYZ file:
```
4
Lattice="0.000 3.123 3.123 3.123 0.000 3.123 3.123 3.123 0.000" Properties=species:S:1:pos:R:3 pbc="T T T"
Tc 0.000 0.000 0.000
P 4.685 4.685 4.685
Au 1.562 1.562 1.562
Au 3.123 3.123 3.123
```

Values from the calculation:
The formation energy is 0.48 eV per atom. As for the symmetry: No. 216.


Record 4
This record from Alexandria via LeMat-Bulk describes a crystal of HgBi2Ir2 relaxed with PBEsol. The functional is meta-GGA SCAN.

extended XYZ file:
```
5
Lattice="-2.357 2.357 5.317 2.357 -2.357 5.317 2.357 2.357 -5.317" Properties=species:S:1:pos:R:3 pbc="T T T"
Hg 0.000 0.000 0.000
Bi 2.357 0.000 2.659
Bi 0.000 2.357 2.659
Ir 0.000 0.000 4.107
Ir 0.000 0.000 6.528
```

Values from the calculation:
The formation energy is 0.52 eV per atom. As for the symmetry: No. 139.


Record 5
This record from Alexandria via LeMat-Bulk describes a crystal of ZrFe2Se relaxed with PBEsol. The functional is meta-GGA SCAN.

extended XYZ file:
```
4
Lattice="1.922 1.110 4.499 -1.922 1.110 4.499 0.000 -2.220 4.499" Properties=species:S:1:pos:R:3 pbc="T T T"
Zr 0.000 0.000 0.000
Fe 0.000 0.000 2.830
Fe 0.000 0.000 10.666
Se 0.000 0.000 6.748
```

Values from the calculation:
As for the uncorrected formation energy: 4.3 kcal/mol of atoms. As for the symmetry: No. 166.


Record 6
This record from Alexandria via LeMat-Bulk describes a crystal of MgSiOs relaxed with PBEsol. The functional is meta-GGA SCAN.

extended XYZ file:
```
3
Lattice="-1.547 1.547 4.555 1.547 -1.547 4.555 1.547 1.547 -4.555" Properties=species:S:1:pos:R:3 pbc="T T T"
Mg 0.000 0.000 0.000
Si 0.000 0.000 2.823
Os 0.000 0.000 6.287
```

Values from the calculation:
As for the uncorrected formation energy: -8.9 kcal/mol of atoms. As for the symmetry: No. 107.


Record 7
This record from Alexandria via LeMat-Bulk describes a crystal of LiCuW2 relaxed with PBEsol. The functional is meta-GGA SCAN.

extended XYZ file:
```
4
Lattice="0.000 3.044 3.044 3.044 0.000 3.044 3.044 3.044 0.000" Properties=species:S:1:pos:R:3 pbc="T T T"
Li 0.000 0.000 0.000
Cu 1.522 1.522 1.522
W 3.044 3.044 3.044
W 4.566 4.566 4.566
```

Values from the calculation:
The formation energy is 0.55 eV per atom. As for the symmetry: No. 216.


Record 8
This record from Alexandria via LeMat-Bulk describes a crystal of FeAg2Sb relaxed with PBEsol. The functional is meta-GGA SCAN.

extended XYZ file:
```
4
Lattice="-1.534 2.185 5.063 1.534 -2.185 5.063 1.534 2.185 -5.063" Properties=species:S:1:pos:R:3 pbc="T T T"
Fe 0.000 0.000 0.000
Ag 1.534 0.000 2.254
Ag 0.000 2.185 2.809
Sb 0.000 0.000 5.063
```

Values from the calculation:
As for the uncorrected formation energy: 6.7 kcal/mol of atoms. As for the symmetry: No. 71.